(1)
## NaMgAlS3 (PBE)

Data for a relaxed NaMgAlS3 crystal.

Computed properties:
energy relative to the elements, uncorrected	-1.19	eV per atom
VASP energy	-52.32	eV/cell
space group	P2_1/m
spin magnetization	0.0	μB per formula unit

Unit cell a=7.7018 b=3.7265 c=10.6013 alpha=90.00 beta=108.92 gamma=90.00
With the nearest neighbours (Å) after each atom.
Positions (direct):
Na: 0.2087 0.2500 0.1718  4 S 2.74-2.91
Na: 0.7913 0.7500 0.8282  4 S 2.74-2.91
Mg: 0.3507 0.7500 0.8965  5 S 2.48-2.72
Mg: 0.6493 0.2500 0.1035  5 S 2.48-2.72
Al: 0.0878 0.2500 0.6219  4 S 2.18-2.36
Al: 0.9122 0.7500 0.3781  4 S 2.18-2.36
S: 0.0798 0.2500 0.8258  1 Al 2.18
S: 0.2030 0.7500 0.5440  3 Al 2.33-2.36
S: 0.4537 0.7500 0.1438  3 Mg 2.48-2.52, 2 Na 2.74
S: 0.5463 0.2500 0.8562  3 Mg 2.48-2.52, 2 Na 2.74
S: 0.7970 0.2500 0.4560  3 Al 2.33-2.36
S: 0.9202 0.7500 0.1742  1 Al 2.18

(2)
## CaMg4Cd8 (PBE)

Data for a relaxed CaMg4Cd8 crystal.

Computed properties:
VASP energy	-17.60	eV/cell
space group	I4/mmm
spin magnetization	0.0	μB per formula unit

Unit cell a=7.6563 b=7.6563 c=7.6563 alpha=99.01 beta=99.01 gamma=133.37
With the nearest neighbours (Å) after each atom.
Positions (direct):
Ca: 0.0000 0.0000 0.0000  12 Cd 3.44-3.72, 8 Mg 3.83
Mg: 0.0000 0.0000 0.5000  8 Cd 2.93-3.06, 2 Mg 3.03
Mg: 0.0000 0.5000 0.0000  8 Cd 2.93-3.06, 2 Mg 3.03
Mg: 0.5000 0.0000 0.0000  8 Cd 2.93-3.06, 2 Mg 3.03
Mg: 0.5000 0.5000 0.5000  8 Cd 2.93-3.06, 2 Mg 3.03
Cd: 0.0000 0.3463 0.3463  5 Cd 3.06-3.29, 4 Mg 3.06
Cd: 0.0000 0.6537 0.6537  5 Cd 3.06-3.29, 4 Mg 3.06
Cd: 0.2838 0.5000 0.7838  4 Mg 2.93, 4 Cd 3.04-3.21
Cd: 0.3463 0.0000 0.3463  5 Cd 3.06-3.29, 4 Mg 3.06
Cd: 0.5000 0.2838 0.7838  4 Mg 2.93, 4 Cd 3.04-3.21
Cd: 0.5000 0.7162 0.2162  4 Mg 2.93, 4 Cd 3.04-3.21
Cd: 0.6537 0.0000 0.6537  5 Cd 3.06-3.29, 4 Mg 3.06
Cd: 0.7162 0.5000 0.2162  4 Mg 2.93, 4 Cd 3.04-3.21

(3)
## NaSr4Li3 (PBE)

Data for a relaxed NaSr4Li3 crystal.

Computed properties:
VASP energy	-13.53	eV/cell
space group	Pmmm
polymorph energy (0 for the lowest one)	0	meV per atom
spin magnetization	0.0	μB per formula unit

Unit cell a=4.3380 b=6.0718 c=12.0882 alpha=90.00 beta=90.00 gamma=90.00
With the nearest neighbours (Å) after each atom.
Positions (direct):
Na: 0.0000 0.0000 0.0000  8 Sr 3.73-3.82
Sr: 0.5000 0.0000 0.2606  6 Li 3.62-3.73, 2 Na 3.82
Sr: 0.5000 0.0000 0.7394  6 Li 3.62-3.73, 2 Na 3.82
Sr: 0.5000 0.5000 0.0000  4 Li 3.73, 4 Na 3.73
Sr: 0.5000 0.5000 0.5000  8 Li 3.71-3.73
Li: 0.0000 0.0000 0.5000  8 Sr 3.62-3.73
Li: 0.0000 0.5000 0.2510  8 Sr 3.71-3.73
Li: 0.0000 0.5000 0.7490  8 Sr 3.71-3.73

(4)
## NiRu3 (PBE)

Data for a relaxed NiRu3 crystal.

Computed properties:
VASP energy	-33.27	eV/cell
space group	Pmm2
spin magnetization	0.0	μB per formula unit

Unit cell a=2.7196 b=4.2257 c=4.6207 alpha=90.00 beta=90.00 gamma=90.00
With the nearest neighbours (Å) after each atom.
Positions (direct):
Ni: 0.0000 0.0000 0.0000  10 Ru 2.59-2.68, 2 Ni 2.72
Ru: 0.0000 0.5000 0.3245  2 Ni 2.59, 10 Ru 2.61-2.75
Ru: 0.5000 0.0000 0.5006  8 Ru 2.64-2.72, 4 Ni 2.68
Ru: 0.5000 0.5000 0.8420  8 Ru 2.61-2.75, 4 Ni 2.62

(5)
## CaLaNiPt (PBE)

Data for a relaxed CaLaNiPt crystal.

Computed properties:
VASP energy	-84.60	eV/cell
space group	F-43m
spin magnetization	0.0	μB per formula unit

Unit cell a=7.0866 b=7.0866 c=7.0866 alpha=90.00 beta=90.00 gamma=90.00
With the nearest neighbours (Å) after each atom.
Positions (direct):
Ca: 0.0000 0.0000 0.0000  4 Ni 3.07, 4 Pt 3.07
Ca: 0.0000 0.5000 0.5000  4 Ni 3.07, 4 Pt 3.07
Ca: 0.5000 0.0000 0.5000  4 Ni 3.07, 4 Pt 3.07
Ca: 0.5000 0.5000 0.0000  4 Ni 3.07, 4 Pt 3.07
La: 0.0000 0.0000 0.5000  4 Ni 3.07, 4 Pt 3.07
La: 0.0000 0.5000 0.0000  4 Ni 3.07, 4 Pt 3.07
La: 0.5000 0.0000 0.0000  4 Ni 3.07, 4 Pt 3.07
La: 0.5000 0.5000 0.5000  4 Ni 3.07, 4 Pt 3.07
Ni: 0.2500 0.2500 0.7500  4 La 3.07, 4 Ca 3.07
Ni: 0.2500 0.7500 0.2500  4 La 3.07, 4 Ca 3.07
Ni: 0.7500 0.2500 0.2500  4 La 3.07, 4 Ca 3.07
Ni: 0.7500 0.7500 0.7500  4 La 3.07, 4 Ca 3.07
Pt: 0.2500 0.2500 0.2500  4 La 3.07, 4 Ca 3.07
Pt: 0.2500 0.7500 0.7500  4 La 3.07, 4 Ca 3.07
Pt: 0.7500 0.2500 0.7500  4 La 3.07, 4 Ca 3.07
Pt: 0.7500 0.7500 0.2500  4 La 3.07, 4 Ca 3.07

(6)
## La2TcSb (PBE)

Data for a relaxed La2TcSb crystal.

Computed properties:
energy relative to the elements, uncorrected	-0.26	eV per atom
VASP energy	-25.38	eV/cell
space group	Pmmm
spin magnetization	0.0	μB per formula unit

Unit cell a=3.8781 b=3.9989 c=6.8389 alpha=90.00 beta=90.00 gamma=90.00
With the nearest neighbours (Å) after each atom.
Positions (direct):
La: 0.0000 0.0000 0.2330  1 La 3.19, 4 Tc 3.21, 4 Sb 3.33
La: 0.0000 0.0000 0.7670  1 La 3.19, 4 Tc 3.21, 4 Sb 3.33
Tc: 0.5000 0.5000 0.0000  8 La 3.21, 2 Sb 3.42
Sb: 0.5000 0.5000 0.5000  8 La 3.33, 2 Tc 3.42

(7)
## Ba12Hg5Rh2 (PBE)

Data for a relaxed Ba12Hg5Rh2 crystal.

Computed properties:
VASP energy	-44.85	eV/cell
space group	C2/m
spin magnetization	0.0	μB per formula unit

Unit cell a=10.6781 b=10.6781 c=10.6814 alpha=104.58 beta=104.58 gamma=50.49
With the nearest neighbours (Å) after each atom.
Positions (direct):
Ba: 0.0010 0.0010 0.2928  2 Rh 3.11
Ba: 0.0739 0.5988 0.4105  1 Rh 3.04
Ba: 0.1111 0.5920 0.9334  4 Hg 3.52-3.61
Ba: 0.4012 0.9261 0.5895  1 Rh 3.04
Ba: 0.4080 0.8889 0.0666  4 Hg 3.52-3.61
Ba: 0.4946 0.4946 0.6849  2 Rh 3.10, 1 Hg 3.34
Ba: 0.5054 0.5054 0.3151  2 Rh 3.10, 1 Hg 3.34
Ba: 0.5920 0.1111 0.9334  4 Hg 3.52-3.61
Ba: 0.5988 0.0739 0.4105  1 Rh 3.04
Ba: 0.8889 0.4080 0.0666  4 Hg 3.52-3.61
Ba: 0.9261 0.4012 0.5895  1 Rh 3.04
Ba: 0.9990 0.9990 0.7072  2 Rh 3.11
Hg: 0.1921 0.1921 0.3326  7 Ba 3.59-3.65
Hg: 0.1980 0.1980 0.8630  7 Ba 3.52-3.74
Hg: 0.5000 0.5000 0.0000  6 Ba 3.34-3.52
Hg: 0.8020 0.8020 0.1370  7 Ba 3.52-3.74
Hg: 0.8079 0.8079 0.6674  7 Ba 3.59-3.65
Rh: 0.2399 0.7601 0.5000  6 Ba 3.04-3.11
Rh: 0.7601 0.2399 0.5000  6 Ba 3.04-3.11

(8)
## BeNbP3 (PBE)

Data for a relaxed BeNbP3 crystal.

Computed properties:
VASP energy	-26.86	eV/cell
space group	Pm-3m
polymorph energy (0 for the lowest one)	0	meV per atom
spin magnetization	0.0	μB per formula unit

Unit cell a=4.2203 b=4.2203 c=4.2203 alpha=90.00 beta=90.00 gamma=90.00
With the nearest neighbours (Å) after each atom.
Positions (direct):
Be: 0.0000 0.0000 0.0000  6 P 2.11
Nb: 0.5000 0.5000 0.5000  12 P 2.98
P: 0.0000 0.0000 0.5000  2 Be 2.11
P: 0.0000 0.5000 0.0000  2 Be 2.11
P: 0.5000 0.0000 0.0000  2 Be 2.11

(9)
## CeSbTe (PBE)

Data for a relaxed CeSbTe crystal.

Computed properties:
energy relative to the elements, uncorrected	-0.84	eV per atom
VASP energy	-62.87	eV/cell
space group	Cmcm
spin magnetization	0.8	μB per formula unit

Unit cell a=4.1872 b=21.0929 c=4.0774 alpha=90.00 beta=90.00 gamma=90.00
With the nearest neighbours (Å) after each atom.
Positions (direct):
Ce: 0.0000 0.1316 0.2500  5 Te 3.27-3.53, 4 Sb 3.35
Ce: 0.0000 0.8684 0.7500  5 Te 3.27-3.53, 4 Sb 3.35
Ce: 0.5000 0.3684 0.7500  5 Te 3.27-3.53, 4 Sb 3.35
Ce: 0.5000 0.6316 0.2500  5 Te 3.27-3.53, 4 Sb 3.35
Sb: 0.0000 0.4461 0.2500  2 Sb 3.05, 1 Te 3.11, 4 Ce 3.35
Sb: 0.0000 0.5539 0.7500  2 Sb 3.05, 1 Te 3.11, 4 Ce 3.35
Sb: 0.5000 0.0539 0.7500  2 Sb 3.05, 1 Te 3.11, 4 Ce 3.35
Sb: 0.5000 0.9461 0.2500  2 Sb 3.05, 1 Te 3.11, 4 Ce 3.35
Te: 0.0000 0.2989 0.2500  1 Sb 3.11, 4 Ce 3.27
Te: 0.0000 0.7011 0.7500  1 Sb 3.11, 4 Ce 3.27
Te: 0.5000 0.2011 0.7500  1 Sb 3.11, 4 Ce 3.27
Te: 0.5000 0.7989 0.2500  1 Sb 3.11, 4 Ce 3.27

(10)
## Sn3Ge5Cl16 (PBE)

Data for a relaxed Sn3Ge5Cl16 crystal.

Computed properties:
energy relative to the elements, uncorrected	-0.87	eV per atom
VASP energy	-85.45	eV/cell
space group	Cm
spin magnetization	0.0	μB per formula unit

Unit cell a=9.0597 b=9.0597 c=12.8013 alpha=90.20 beta=90.20 gamma=50.27
With the nearest neighbours (Å) after each atom.
Positions (direct):
Sn: 0.0000 0.0000 0.0000  1 Cl 2.53
Sn: 0.1678 0.6513 0.4821  3 Cl 2.65-2.72
Sn: 0.6513 0.1678 0.4821  3 Cl 2.65-2.72
Ge: 0.1814 0.1814 0.2861  3 Cl 2.37-2.40
Ge: 0.4697 0.4697 0.7874  3 Cl 2.41-2.42
Ge: 0.4799 0.9581 0.9967  3 Cl 2.37-2.51
Ge: 0.6287 0.6287 0.5025  3 Cl 2.34-2.50
Ge: 0.9581 0.4799 0.9967  3 Cl 2.37-2.51
Cl: 0.0056 0.4720 0.3867  1 Ge 2.40
Cl: 0.1144 0.1144 0.8684  1 Sn 2.53
Cl: 0.1791 0.6446 0.8901  1 Ge 2.42
Cl: 0.2865 0.2865 0.1593  1 Ge 2.37
Cl: 0.3130 0.7926 0.5904  1 Ge 2.50, 1 Sn 2.72
Cl: 0.3561 0.3561 0.6674  1 Ge 2.41
Cl: 0.3611 0.8387 0.1014  1 Ge 2.37
Cl: 0.4720 0.0056 0.3867  1 Ge 2.40
Cl: 0.5392 0.5392 0.3596  1 Ge 2.34
Cl: 0.6446 0.1791 0.8901  1 Ge 2.42
Cl: 0.6687 0.6687 0.8795  2 Ge 2.51
Cl: 0.7813 0.7813 0.1028  2 Ge 2.50
Cl: 0.7926 0.3130 0.5904  1 Ge 2.50, 1 Sn 2.72
Cl: 0.8387 0.3611 0.1014  1 Ge 2.37
Cl: 0.8603 0.8603 0.6032  2 Sn 2.65
Cl: 0.9626 0.9626 0.3599  2 Sn 2.68

(11)
## Ba2TlPb6Au (PBE)

Data for a relaxed Ba2TlPb6Au crystal.

Computed properties:
VASP energy	-66.85	eV/cell
space group	R-3m
spin magnetization	0.0	μB per formula unit

Unit cell a=16.0387 b=16.0387 c=16.0387 alpha=27.02 beta=27.02 gamma=27.02
With the nearest neighbours (Å) after each atom.
Positions (direct):
Ba: 0.1243 0.1243 0.1243  9 Pb 3.78-3.99
Ba: 0.2845 0.2845 0.2845  9 Pb 3.83-4.23
Ba: 0.7155 0.7155 0.7155  9 Pb 3.83-4.23
Ba: 0.8757 0.8757 0.8757  9 Pb 3.78-3.99
Tl: 0.4240 0.4240 0.4240  6 Pb 3.15-3.28, 1 Au 3.52
Tl: 0.5760 0.5760 0.5760  6 Pb 3.15-3.28, 1 Au 3.52
Pb: 0.0829 0.6573 0.6573  1 Au 2.95, 1 Tl 3.15, 2 Pb 3.19
Pb: 0.2210 0.2210 0.6563  1 Au 2.88
Pb: 0.2210 0.6563 0.2210  1 Au 2.88
Pb: 0.3427 0.3427 0.9171  1 Au 2.95, 1 Tl 3.15, 2 Pb 3.19
Pb: 0.3427 0.9171 0.3427  1 Au 2.95, 1 Tl 3.15, 2 Pb 3.19
Pb: 0.3437 0.7790 0.7790  1 Au 2.88
Pb: 0.6563 0.2210 0.2210  1 Au 2.88
Pb: 0.6573 0.0829 0.6573  1 Au 2.95, 1 Tl 3.15, 2 Pb 3.19
Pb: 0.6573 0.6573 0.0829  1 Au 2.95, 1 Tl 3.15, 2 Pb 3.19
Pb: 0.7790 0.3437 0.7790  1 Au 2.88
Pb: 0.7790 0.7790 0.3437  1 Au 2.88
Pb: 0.9171 0.3427 0.3427  1 Au 2.95, 1 Tl 3.15, 2 Pb 3.19
Au: 0.0000 0.0000 0.0000  6 Pb 2.88
Au: 0.5000 0.5000 0.5000  6 Pb 2.95

(12)
## Nb3PbW (PBE)

Data for a relaxed Nb3PbW crystal.

Computed properties:
VASP energy	-41.09	eV/cell
space group	Pm-3m
polymorph energy (0 for the lowest one)	0	meV per atom
spin magnetization	0.0	μB per formula unit

Unit cell a=4.9202 b=4.9202 c=4.9202 alpha=90.00 beta=90.00 gamma=90.00
With the nearest neighbours (Å) after each atom.
Positions (direct):
Nb: 0.0000 0.0000 0.5000  2 W 2.46
Nb: 0.0000 0.5000 0.0000  2 W 2.46
Nb: 0.5000 0.0000 0.0000  2 W 2.46
Pb: 0.5000 0.5000 0.5000  12 Nb 3.48
W: 0.0000 0.0000 0.0000  6 Nb 2.46